No. 1
{
  "formula": "PuAlHgO6",
  "functional": "GGA-PBE",
  "state": "relaxed",
  "formation_energy_uncorrected_ev_per_atom": -1.914,
  "volume_a3_per_cell": 238.0,
  "magmom_total_mub_per_fu": 1.00,
  "cell": [[5.245, 0.000, 0.000], [-2.622, 4.542, 0.000], [0.000, 0.000, 9.993]],
  "species": ["Pu", "Pu", "Al", "Al", "Hg", "Hg", "O", "O", "O", "O", "O", "O", "O", "O", "O", "O", "O", "O"],
  "fractional_positions": [[0.333, 0.667, 0.250], [0.667, 0.333, 0.750], [0.333, 0.667, 0.750], [0.667, 0.333, 0.250], [0.000, 0.000, 0.000], [0.000, 0.000, 0.500], [0.013, 0.371, 0.644], [0.013, 0.642, 0.856], [0.358, 0.371, 0.856], [0.358, 0.987, 0.644], [0.371, 0.013, 0.144], [0.371, 0.358, 0.356], [0.629, 0.642, 0.644], [0.629, 0.987, 0.856], [0.642, 0.013, 0.356], [0.642, 0.629, 0.144], [0.987, 0.358, 0.144], [0.987, 0.629, 0.356]]
}

No. 2
{
  "formula": "RbAlHgO3",
  "functional": "GGA-PBE",
  "state": "relaxed",
  "formation_energy_uncorrected_ev_per_atom": -1.606,
  "volume_a3_per_cell": 181.7,
  "magmom_total_mub_per_fu": 0.00,
  "cell": [[2.929, -5.602, 0.000], [2.929, 5.602, 0.000], [0.000, 0.000, 5.537]],
  "species": ["Rb", "Rb", "Al", "Al", "Hg", "Hg", "O", "O", "O", "O", "O", "O"],
  "fractional_positions": [[0.246, 0.754, 0.750], [0.754, 0.246, 0.250], [0.446, 0.554, 0.250], [0.554, 0.446, 0.750], [0.089, 0.911, 0.250], [0.911, 0.089, 0.750], [0.288, 0.712, 0.250], [0.293, 0.293, 0.000], [0.293, 0.293, 0.500], [0.707, 0.707, 0.000], [0.707, 0.707, 0.500], [0.712, 0.288, 0.750]]
}

No. 3
{
  "formula": "Al2HgSb2O7",
  "functional": "GGA-PBE",
  "state": "relaxed",
  "formation_energy_uncorrected_ev_per_atom": -1.775,
  "volume_a3_per_cell": 189.5,
  "magmom_total_mub_per_fu": 0.00,
  "cell": [[2.679, 1.547, 7.619], [-2.679, 1.547, 7.619], [0.000, -3.094, 7.619]],
  "species": ["Al", "Al", "Hg", "Sb", "Sb", "O", "O", "O", "O", "O", "O", "O"],
  "fractional_positions": [[0.076, 0.076, 0.076], [0.924, 0.924, 0.924], [0.500, 0.500, 0.500], [0.277, 0.277, 0.277], [0.723, 0.723, 0.723], [0.000, 0.000, 0.000], [0.067, 0.433, 0.803], [0.197, 0.567, 0.933], [0.433, 0.803, 0.067], [0.567, 0.933, 0.197], [0.803, 0.067, 0.433], [0.933, 0.197, 0.567]]
}

No. 4
{
  "formula": "Al2HgSbO",
  "functional": "GGA-PBE",
  "state": "relaxed",
  "formation_energy_uncorrected_ev_per_atom": 0.503,
  "volume_a3_per_cell": 115.9,
  "magmom_total_mub_per_fu": 0.00,
  "cell": [[5.323, 0.000, 0.000], [0.000, 5.323, 0.000], [0.000, 0.000, 4.091]],
  "species": ["Al", "Al", "Hg", "Sb", "O"],
  "fractional_positions": [[0.000, 0.500, 0.000], [0.500, 0.000, 0.000], [0.000, 0.000, 0.000], [0.500, 0.500, 0.500], [0.000, 0.000, 0.500]]
}

No. 5
{
  "formula": "Al2HgSbO6",
  "functional": "GGA-PBE",
  "state": "relaxed",
  "formation_energy_uncorrected_ev_per_atom": -1.826,
  "volume_a3_per_cell": 259.9,
  "magmom_total_mub_per_fu": 0.00,
  "cell": [[4.948, -4.876, 0.000], [4.948, 4.876, 0.000], [-0.899, 0.000, 5.386]],
  "species": ["Al", "Al", "Al", "Al", "Hg", "Hg", "Sb", "Sb", "O", "O", "O", "O", "O", "O", "O", "O", "O", "O", "O", "O"],
  "fractional_positions": [[0.106, 0.285, 0.281], [0.285, 0.106, 0.781], [0.715, 0.894, 0.219], [0.894, 0.715, 0.719], [0.417, 0.583, 0.750], [0.583, 0.417, 0.250], [0.212, 0.788, 0.250], [0.788, 0.212, 0.750], [0.095, 0.216, 0.589], [0.116, 0.668, 0.898], [0.216, 0.095, 0.089], [0.248, 0.505, 0.335], [0.332, 0.884, 0.602], [0.495, 0.752, 0.165], [0.505, 0.248, 0.835], [0.668, 0.116, 0.398], [0.752, 0.495, 0.665], [0.784, 0.905, 0.911], [0.884, 0.332, 0.102], [0.905, 0.784, 0.411]]
}

No. 6
{
  "formula": "Sc4AlHgO",
  "functional": "GGA-PBE",
  "state": "relaxed",
  "formation_energy_uncorrected_ev_per_atom": -1.061,
  "volume_a3_per_cell": 275.9,
  "magmom_total_mub_per_fu": 0.00,
  "cell": [[3.056, -7.388, 0.000], [3.056, 7.388, 0.000], [0.000, 0.000, 6.110]],
  "species": ["Sc", "Sc", "Sc", "Sc", "Sc", "Sc", "Sc", "Sc", "Al", "Al", "Hg", "Hg", "O", "O"],
  "fractional_positions": [[0.000, 0.500, 0.000], [0.000, 0.500, 0.500], [0.081, 0.919, 0.750], [0.416, 0.584, 0.750], [0.500, 0.000, 0.000], [0.500, 0.000, 0.500], [0.584, 0.416, 0.250], [0.919, 0.081, 0.250], [0.386, 0.614, 0.250], [0.614, 0.386, 0.750], [0.113, 0.887, 0.250], [0.887, 0.113, 0.750], [0.250, 0.750, 0.750], [0.750, 0.250, 0.250]]
}

No. 7
{
  "formula": "AlHgSe2O",
  "functional": "GGA-PBE",
  "state": "relaxed",
  "formation_energy_uncorrected_ev_per_atom": 0.287,
  "volume_a3_per_cell": 102.2,
  "magmom_total_mub_per_fu": 0.00,
  "cell": [[4.259, 0.000, 0.000], [0.000, 4.259, 0.000], [0.000, 0.000, 5.634]],
  "species": ["Al", "Hg", "Se", "Se", "O"],
  "fractional_positions": [[0.000, 0.000, 0.000], [0.500, 0.500, 0.000], [0.000, 0.500, 0.500], [0.500, 0.000, 0.500], [0.500, 0.500, 0.500]]
}

No. 8
{
  "formula": "AlHgSe2O8",
  "functional": "GGA-PBE",
  "state": "relaxed",
  "formation_energy_uncorrected_ev_per_atom": -0.968,
  "volume_a3_per_cell": 180.1,
  "magmom_total_mub_per_fu": 0.24,
  "cell": [[4.196, -2.684, 0.000], [4.196, 2.684, 0.000], [-0.059, 0.000, 7.997]],
  "species": ["Al", "Hg", "Se", "Se", "O", "O", "O", "O", "O", "O", "O", "O"],
  "fractional_positions": [[0.000, 0.000, 0.000], [0.000, 0.000, 0.500], [0.355, 0.355, 0.197], [0.645, 0.645, 0.803], [0.221, 0.221, 0.041], [0.221, 0.726, 0.174], [0.274, 0.779, 0.826], [0.287, 0.287, 0.391], [0.713, 0.713, 0.609], [0.726, 0.221, 0.174], [0.779, 0.274, 0.826], [0.779, 0.779, 0.959]]
}

No. 9
{
  "formula": "AlHgSeO6",
  "functional": "GGA-PBE",
  "state": "relaxed",
  "formation_energy_uncorrected_ev_per_atom": -1.017,
  "volume_a3_per_cell": 104.1,
  "magmom_total_mub_per_fu": 0.26,
  "cell": [[4.991, 0.000, 0.000], [-2.496, 4.322, 0.000], [0.000, 0.000, 4.824]],
  "species": ["Al", "Hg", "Se", "O", "O", "O", "O", "O", "O"],
  "fractional_positions": [[0.000, 0.000, 0.000], [0.333, 0.667, 0.500], [0.667, 0.333, 0.000], [0.345, 0.049, 0.209], [0.345, 0.296, 0.791], [0.704, 0.049, 0.791], [0.704, 0.655, 0.209], [0.951, 0.296, 0.209], [0.951, 0.655, 0.791]]
}

No. 10
{
  "formula": "SrAlHgO2",
  "functional": "GGA-PBE",
  "state": "relaxed",
  "formation_energy_uncorrected_ev_per_atom": 0.358,
  "volume_a3_per_cell": 116.1,
  "magmom_total_mub_per_fu": 0.00,
  "cell": [[4.496, 0.000, 0.000], [0.000, 4.496, 0.000], [0.000, 0.000, 5.742]],
  "species": ["Sr", "Al", "Hg", "O", "O"],
  "fractional_positions": [[0.000, 0.000, 0.000], [0.500, 0.500, 0.000], [0.000, 0.000, 0.500], [0.000, 0.500, 0.500], [0.500, 0.000, 0.500]]
}

No. 11
{
  "formula": "Ta2AlHgO",
  "functional": "GGA-PBE",
  "state": "relaxed",
  "formation_energy_uncorrected_ev_per_atom": -0.251,
  "volume_a3_per_cell": 80.3,
  "magmom_total_mub_per_fu": 0.00,
  "cell": [[4.220, 0.000, 0.000], [0.000, 4.220, 0.000], [0.000, 0.000, 4.507]],
  "species": ["Ta", "Ta", "Al", "Hg", "O"],
  "fractional_positions": [[0.000, 0.500, 0.000], [0.500, 0.000, 0.000], [0.000, 0.000, 0.500], [0.500, 0.500, 0.500], [0.000, 0.000, 0.000]]
}

No. 12
{
  "formula": "Al2TcHgO",
  "functional": "GGA-PBE",
  "state": "relaxed",
  "formation_energy_uncorrected_ev_per_atom": -0.118,
  "volume_a3_per_cell": 96.3,
  "magmom_total_mub_per_fu": 0.00,
  "cell": [[5.045, 0.000, 0.000], [0.000, 5.045, 0.000], [0.000, 0.000, 3.785]],
  "species": ["Al", "Al", "Tc", "Hg", "O"],
  "fractional_positions": [[0.000, 0.500, 0.000], [0.500, 0.000, 0.000], [0.000, 0.000, 0.000], [0.500, 0.500, 0.500], [0.000, 0.000, 0.500]]
}